No. 1
# PBE ZrBeV, relaxed
# Offset from the most stable computed form (meV per atom): 0.0
# Total moment (μB/atom): 0.00
# Energy of formation (eV per atom): -0.022
# Density of states at the Fermi level (states/eV per atom): 1.065
data_ZrBeV
_cell_length_a 4.6319
_cell_length_b 5.2955
_cell_length_c 7.3877
_cell_angle_alpha 90.00
_cell_angle_beta 90.00
_cell_angle_gamma 90.00
_space_group_name_H-M_alt 'I m m a'
_space_group_IT_number 74
_space_group_name_Hall '-I 2b 2'
loop_
_atom_site_label
_atom_site_type_symbol
_atom_site_fract_x
_atom_site_fract_y
_atom_site_fract_z
_atom_site_occupancy
Zr1 Zr 0.0000 0.2500 0.1133 1
Be1 Be 0.0000 0.0000 0.5000 1
V1 V 0.2500 0.2500 0.7500 1

No. 2
# PBE Zr2Be2V, relaxed
# Total moment (μB/atom): 0.44
# Energy of formation (eV per atom): 0.004
# Density of states at the Fermi level (states/eV per atom): 1.202
data_Zr2Be2V
_cell_length_a 6.5617
_cell_length_b 6.5617
_cell_length_c 3.6833
_cell_angle_alpha 90.00
_cell_angle_beta 90.00
_cell_angle_gamma 90.00
_space_group_name_H-M_alt 'P 4/m b m'
_space_group_IT_number 127
_space_group_name_Hall '-P 4 2ab'
loop_
_atom_site_label
_atom_site_type_symbol
_atom_site_fract_x
_atom_site_fract_y
_atom_site_fract_z
_atom_site_occupancy
Zr1 Zr 0.1801 0.3199 0.0000 1
Be1 Be 0.1165 0.6165 0.5000 1
V1 V 0.0000 0.0000 0.5000 1

No. 3
# PBE ZrBe9V2, relaxed
# Offset from the most stable computed form (meV per atom): 3.1
# Total moment (μB/atom): 0.00
# Energy of formation (eV per atom): -0.237
# Density of states at the Fermi level (states/eV per atom): 0.284
data_ZrBe9V2
_cell_length_a 4.4490
_cell_length_b 4.4490
_cell_length_c 13.9898
_cell_angle_alpha 90.00
_cell_angle_beta 90.00
_cell_angle_gamma 120.00
_space_group_name_H-M_alt 'P 63/m m c'
_space_group_IT_number 194
_space_group_name_Hall '-P 6c 2c'
loop_
_atom_site_label
_atom_site_type_symbol
_atom_site_fract_x
_atom_site_fract_y
_atom_site_fract_z
_atom_site_occupancy
Zr1 Zr 0.3333 0.6667 0.2500 1
Be1 Be 0.0000 0.0000 0.0000 1
Be2 Be 0.0000 0.0000 0.2500 1
Be3 Be 0.1694 0.3388 0.6216 1
Be4 Be 0.3333 0.6667 0.7500 1
V1 V 0.3333 0.6667 0.0337 1

No. 4
# PBE Be2W, relaxed
# Offset from the most stable computed form (meV per atom): 505.8
# Total moment (μB/atom): 0.00
# Energy of formation (eV per atom): 0.193
# Density of states at the Fermi level (states/eV per atom): 0.354
data_Be2W
_cell_length_a 8.8233
_cell_length_b 2.5701
_cell_length_c 5.9597
_cell_angle_alpha 90.00
_cell_angle_beta 92.88
_cell_angle_gamma 90.00
_space_group_name_H-M_alt 'C 1 m 1'
_space_group_IT_number 8
loop_
_space_group_symop_operation_xyz
'x,y,z'
'x,-y,z'
'x+1/2,y+1/2,z'
'x+1/2,-y+1/2,z'
loop_
_atom_site_label
_atom_site_type_symbol
_atom_site_fract_x
_atom_site_fract_y
_atom_site_fract_z
_atom_site_occupancy
Be1 Be 0.0000 0.0000 0.0000 1
Be2 Be 0.1173 0.0000 0.7001 1
Be3 Be 0.2612 0.5000 0.4832 1
Be4 Be 0.3826 0.0000 0.7481 1
W1 W 0.2369 0.5000 0.0628 1
W2 W 0.4904 0.0000 0.3534 1

No. 5
# PBE BeW2, relaxed
# Offset from the most stable computed form (meV per atom): 1122.4
# Total moment (μB/atom): 0.00
# Energy of formation (eV per atom): 0.996
# Density of states at the Fermi level (states/eV per atom): 0.861
data_BeW2
_cell_length_a 5.3028
_cell_length_b 5.3028
_cell_length_c 8.2292
_cell_angle_alpha 90.00
_cell_angle_beta 90.00
_cell_angle_gamma 120.00
_space_group_name_H-M_alt 'P 63/m m c'
_space_group_IT_number 194
_space_group_name_Hall '-P 6c 2c'
loop_
_atom_site_label
_atom_site_type_symbol
_atom_site_fract_x
_atom_site_fract_y
_atom_site_fract_z
_atom_site_occupancy
Be1 Be 0.3333 0.6667 0.1005 1
W1 W 0.0000 0.0000 0.0000 1
W2 W 0.1718 0.3436 0.7500 1

No. 6
# PBE Be3W, relaxed
# Offset from the most stable computed form (meV per atom): 333.9
# Total moment (μB/atom): 0.00
# Energy of formation (eV per atom): 0.109
# Density of states at the Fermi level (states/eV per atom): 0.262
data_Be3W
_cell_length_a 3.7717
_cell_length_b 3.7818
_cell_length_c 5.7771
_cell_angle_alpha 90.00
_cell_angle_beta 90.00
_cell_angle_gamma 90.00
_space_group_name_H-M_alt 'C m m m'
_space_group_IT_number 65
_space_group_name_Hall '-C 2 2'
loop_
_atom_site_label
_atom_site_type_symbol
_atom_site_fract_x
_atom_site_fract_y
_atom_site_fract_z
_atom_site_occupancy
Be1 Be 0.0000 0.0000 0.0000 1
Be2 Be 0.0000 0.5000 0.1986 1
W1 W 0.0000 0.0000 0.5000 1

No. 7
# PBE Be3W, relaxed
# Offset from the most stable computed form (meV per atom): 395.9
# Total moment (μB/atom): 0.00
# Energy of formation (eV per atom): 0.171
# Density of states at the Fermi level (states/eV per atom): 0.300
data_Be3W
_cell_length_a 2.6203
_cell_length_b 4.0080
_cell_length_c 8.0581
_cell_angle_alpha 90.00
_cell_angle_beta 90.00
_cell_angle_gamma 90.00
_space_group_name_H-M_alt 'I m m m'
_space_group_IT_number 71
_space_group_name_Hall '-I 2 2'
loop_
_atom_site_label
_atom_site_type_symbol
_atom_site_fract_x
_atom_site_fract_y
_atom_site_fract_z
_atom_site_occupancy
Be1 Be 0.0000 0.0000 0.0000 1
Be2 Be 0.0000 0.5000 0.2738 1
W1 W 0.0000 0.0000 0.5000 1

No. 8
# PBE BeW5, relaxed
# Offset from the most stable computed form (meV per atom): 15.8
# Total moment (μB/atom): 0.00
# Energy of formation (eV per atom): 0.192
# Density of states at the Fermi level (states/eV per atom): 0.538
data_BeW5
_cell_length_a 9.7516
_cell_length_b 3.1623
_cell_length_c 6.3241
_cell_angle_alpha 90.00
_cell_angle_beta 109.44
_cell_angle_gamma 90.00
_space_group_name_H-M_alt 'C 1 2/m 1'
_space_group_IT_number 12
loop_
_space_group_symop_operation_xyz
'x,y,z'
'-x,-y,-z'
'-x,y,-z'
'x,-y,z'
'x+1/2,y+1/2,z'
'-x+1/2,-y+1/2,-z'
'-x+1/2,y+1/2,-z'
'x+1/2,-y+1/2,z'
loop_
_atom_site_label
_atom_site_type_symbol
_atom_site_fract_x
_atom_site_fract_y
_atom_site_fract_z
_atom_site_occupancy
Be1 Be 0.0000 0.0000 0.0000 1
W1 W 0.0000 0.0000 0.5000 1
W2 W 0.1606 0.5000 0.3272 1
W3 W 0.1731 0.5000 0.8357 1